This record from Alexandria via LeMat-Bulk describes an optimized crystal structure of Pu3AsS2. The functional is PBE.

Cell lengths 6.987, 6.987, 7.002 Å; angles 99.58, 99.58, 120.17 degrees
Atoms (fractional coordinates):
Pu (0.000, 0.500, 0.000)
Pu (0.153, 0.327, 0.499)
Pu (0.327, 0.153, 0.999)
Pu (0.500, 0.000, 0.500)
Pu (0.673, 0.847, 0.001)
Pu (0.847, 0.673, 0.501)
As (0.419, 0.581, 0.250)
As (0.581, 0.419, 0.750)
S (0.083, 0.917, 0.250)
S (0.253, 0.747, 0.750)
S (0.747, 0.253, 0.250)
S (0.917, 0.083, 0.750)

Calculated values
The value obtained for the density of states at the Fermi level is 53.6 states/eV per cell. As for the energy: -0.3983 hartree per atom. The value obtained for the total magnetization is 32.9 μB/cell. The value obtained for the uncorrected formation energy is -1.522 eV per atom. Its space group is No. 15.